# 1
# TeRh2Pb

TeRh2Pb after structural relaxation (PBEsol, the Alexandria database).

Output
electronic total energy = -24.29 eV for the cell shown
calculated density = 11.89 g/cm3
M_tot = 0.000 μB per atom

a b c (Å): 3.661 3.661 5.633
angles (deg): 90.00 90.00 90.00
Element x y z (fractional)
Pb (0.500, 0.500, 0.809)
Te (0.000, 0.000, 0.423)
Rh (0.000, 0.000, 0.973)
Rh (0.500, 0.500, 0.294)

# 2
# Ag6Au7

Ag6Au7 after structural relaxation (PBEsol, the Alexandria database).

Output
electronic total energy = -46.60 eV for the cell shown
ΔE_f = 0.056 eV per atom
calculated density = 14.49 g/cm3
M_tot = 0.000 μB per atom

a b c (Å): 5.401 5.401 9.704
angles (deg): 73.84 73.84 60.00
Element x y z (fractional)
Ag (0.950, 0.950, 0.149)
Ag (0.050, 0.050, 0.851)
Ag (0.845, 0.845, 0.464)
Ag (0.155, 0.155, 0.536)
Ag (0.667, 0.667, 0.000)
Ag (0.333, 0.333, 0.000)
Au (0.413, 0.413, 0.258)
Au (0.917, 0.413, 0.258)
Au (0.413, 0.917, 0.258)
Au (0.587, 0.587, 0.742)
Au (0.587, 0.083, 0.742)
Au (0.083, 0.587, 0.742)
Au (0.500, 0.500, 0.500)

# 3
# Zr2TlAs

Zr2TlAs after structural relaxation (PBEsol, the Alexandria database).

Output
electronic total energy = -27.23 eV for the cell shown
ΔE_f = -0.328 eV per atom
calculated density = 9.52 g/cm3
relative energy among the computed polymorphs = 0.0686 eV/atom
M_tot = 0.000 μB per atom

a b c (Å): 4.848 4.848 4.848
angles (deg): 60.00 60.00 60.00
Element x y z (fractional)
Tl (0.500, 0.500, 0.500)
As (0.000, 0.000, 0.000)
Zr (0.750, 0.750, 0.750)
Zr (0.250, 0.250, 0.250)

# 4
# TaAgP4O13

TaAgP4O13 after structural relaxation (PBEsol, the Alexandria database).

Output
electronic total energy = -589.48 eV for the cell shown
calculated density = 3.94 g/cm3
M_tot = 0.002 μB per atom

a b c (Å): 7.149 8.311 17.625
angles (deg): 90.00 90.00 90.00
Element x y z (fractional)
Ta (0.238, 0.269, 0.714)
Ta (0.738, 0.231, 0.286)
Ta (0.762, 0.769, 0.786)
Ta (0.262, 0.731, 0.214)
Ag (0.199, 0.725, 0.484)
Ag (0.699, 0.775, 0.516)
Ag (0.801, 0.225, 0.016)
Ag (0.301, 0.275, 0.984)
P (0.400, 0.649, 0.668)
P (0.900, 0.851, 0.332)
P (0.600, 0.149, 0.832)
P (0.100, 0.351, 0.168)
P (0.096, 0.894, 0.664)
P (0.596, 0.606, 0.336)
P (0.904, 0.394, 0.836)
P (0.404, 0.106, 0.164)
P (0.072, 0.324, 0.425)
P (0.572, 0.176, 0.575)
P (0.928, 0.824, 0.075)
P (0.428, 0.676, 0.925)
P (0.916, 0.390, 0.576)
P (0.416, 0.110, 0.424)
P (0.084, 0.890, 0.924)
P (0.584, 0.610, 0.076)
O (0.427, 0.651, 0.585)
O (0.927, 0.849, 0.415)
O (0.573, 0.151, 0.915)
O (0.073, 0.349, 0.085)
O (0.338, 0.487, 0.703)
O (0.838, 0.013, 0.297)
O (0.662, 0.987, 0.797)
O (0.162, 0.513, 0.203)
O (0.573, 0.701, 0.715)
O (0.073, 0.799, 0.285)
O (0.427, 0.201, 0.785)
O (0.927, 0.299, 0.215)
O (0.102, 0.907, 0.581)
O (0.602, 0.593, 0.419)
O (0.898, 0.407, 0.919)
O (0.398, 0.093, 0.081)
O (0.913, 0.830, 0.700)
O (0.413, 0.670, 0.300)
O (0.247, 0.772, 0.699)
O (0.087, 0.330, 0.800)
O (0.140, 0.051, 0.709)
O (0.640, 0.449, 0.291)
O (0.860, 0.551, 0.791)
O (0.360, 0.949, 0.209)
O (0.469, 0.670, 0.144)
O (0.969, 0.830, 0.856)
O (0.531, 0.170, 0.356)
O (0.031, 0.330, 0.644)
O (0.792, 0.674, 0.089)
O (0.292, 0.826, 0.911)
O (0.208, 0.174, 0.411)
O (0.708, 0.326, 0.589)
O (0.508, 0.719, 0.008)
O (0.008, 0.781, 0.992)
O (0.492, 0.219, 0.492)
O (0.992, 0.281, 0.508)
O (0.584, 0.436, 0.062)
O (0.084, 0.064, 0.938)
O (0.416, 0.936, 0.438)
O (0.916, 0.564, 0.562)
O (0.593, 0.711, 0.872)
O (0.093, 0.789, 0.128)
O (0.407, 0.211, 0.628)
O (0.907, 0.289, 0.372)
O (0.336, 0.518, 0.919)
O (0.836, 0.982, 0.081)
O (0.664, 0.018, 0.581)
O (0.164, 0.482, 0.419)
O (0.253, 0.228, 0.199)
O (0.753, 0.272, 0.801)
O (0.747, 0.728, 0.301)
O (0.587, 0.170, 0.200)

# 5
# SmLuO3

SmLuO3 after structural relaxation (PBEsol, the Alexandria database).

Output
electronic total energy = -174.74 eV for the cell shown
calculated density = 9.17 g/cm3
M_tot = 0.000 μB per atom

a b c (Å): 5.615 5.880 8.187
angles (deg): 90.00 90.00 90.00
Element x y z (fractional)
Sm (0.980, 0.058, 0.250)
Sm (0.480, 0.442, 0.750)
Sm (0.520, 0.558, 0.250)
Sm (0.020, 0.942, 0.750)
Lu (0.500, 0.000, 0.000)
Lu (0.500, 0.000, 0.500)
Lu (0.000, 0.500, 0.000)
Lu (0.000, 0.500, 0.500)
O (0.635, 0.062, 0.750)
O (0.192, 0.195, 0.572)
O (0.192, 0.195, 0.928)
O (0.692, 0.305, 0.428)
O (0.692, 0.305, 0.072)
O (0.135, 0.438, 0.250)
O (0.865, 0.562, 0.750)
O (0.308, 0.695, 0.928)
O (0.308, 0.695, 0.572)
O (0.808, 0.805, 0.072)
O (0.808, 0.805, 0.428)
O (0.365, 0.938, 0.250)

# 6
# ZnCr2Rh

ZnCr2Rh after structural relaxation (PBEsol, the Alexandria database).

Output
electronic total energy = -29.97 eV for the cell shown
ΔE_f = 0.059 eV per atom
calculated density = 9.10 g/cm3
M_tot = 0.001 μB per atom

a b c (Å): 2.853 4.277 4.814
angles (deg): 116.37 107.24 90.00
Element x y z (fractional)
Cr (0.027, 0.027, 0.055)
Cr (0.727, 0.227, 0.453)
Rh (0.487, 0.487, 0.974)
Zn (0.259, 0.759, 0.517)

# 7
# BeCoRu2

BeCoRu2 after structural relaxation (PBEsol, the Alexandria database).

Output
electronic total energy = -32.12 eV for the cell shown
ΔE_f = -0.011 eV per atom
calculated density = 10.02 g/cm3
M_tot = 0.000 μB per atom

a b c (Å): 2.605 3.783 4.726
angles (deg): 90.00 106.00 90.00
Element x y z (fractional)
Ru (0.942, 0.000, 0.884)
Ru (0.294, 0.500, 0.587)
Co (0.562, 0.500, 0.124)
Be (0.682, 0.000, 0.365)

# 8
# Li2Ca3N6

Li2Ca3N6 after structural relaxation (PBEsol, the Alexandria database).

Output
electronic total energy = -136.56 eV for the cell shown
calculated density = 2.73 g/cm3
M_tot = 0.000 μB per atom

a b c (Å): 4.713 8.046 8.062
angles (deg): 119.93 90.00 90.00
Element x y z (fractional)
Li (0.500, 0.667, 0.334)
Li (0.000, 0.667, 0.334)
Li (0.500, 0.333, 0.666)
Li (0.000, 0.333, 0.666)
Ca (0.750, 0.319, 0.000)
Ca (0.250, 0.681, 0.000)
Ca (0.750, 0.680, 0.680)
Ca (0.250, 0.000, 0.680)
Ca (0.250, 0.320, 0.320)
Ca (0.750, 0.000, 0.320)
N (0.750, 0.096, 0.652)
N (0.250, 0.556, 0.652)
N (0.250, 0.904, 0.348)
N (0.750, 0.444, 0.348)
N (0.750, 0.345, 0.435)
N (0.250, 0.090, 0.435)
N (0.250, 0.655, 0.565)
N (0.750, 0.910, 0.565)
N (0.750, 0.561, 0.907)
N (0.250, 0.346, 0.907)
N (0.250, 0.439, 0.093)
N (0.750, 0.654, 0.093)